Material: ZrSO
Method: DFT, PBE
State: optimized geometry

Cell lengths 3.6833, 6.1636, 8.9077 Å; angles 90.00, 90.00, 90.00 degrees
Atoms (fractional coordinates):
O 0.7500 0.0566 0.9027
O 0.2500 0.4434 0.4027
O 0.7500 0.5566 0.5973
O 0.2500 0.9434 0.0973
Zr 0.2500 0.7070 0.5605
Zr 0.7500 0.2930 0.4395
Zr 0.2500 0.2070 0.9395
Zr 0.7500 0.7930 0.0605
S 0.2500 0.6165 0.8612
S 0.7500 0.8835 0.3612
S 0.2500 0.1165 0.6388
S 0.7500 0.3835 0.1388

SG = Pnma (62)
Raw total energy = -98.6 eV per cell
Excess energy over the best structure of this formula in the dataset = 0.32 eV/f.u.
Raw formation energy = -2.34 eV/atom
Total moment = 0.0 μB/f.u.